# PBE with a Hubbard U CsNaVO4, relaxed
data_CsNaVO4
_cell_length_a 6.277
_cell_length_b 6.277
_cell_length_c 9.004
_cell_angle_alpha 90.00
_cell_angle_beta 90.00
_cell_angle_gamma 90.00
_symmetry_space_group_name_H-M 'I -4'
_symmetry_Int_Tables_number 82
loop_
_symmetry_equiv_pos_as_xyz
'x,y,z'
'y,-x,-z'
'-x,-y,z'
'-y,x,-z'
'x+1/2,y+1/2,z+1/2'
'y+1/2,-x+1/2,-z+1/2'
'-x+1/2,-y+1/2,z+1/2'
'-y+1/2,x+1/2,-z+1/2'
loop_
_atom_site_label
_atom_site_type_symbol
_atom_site_fract_x
_atom_site_fract_y
_atom_site_fract_z
_atom_site_occupancy
Cs1 Cs 0.000 0.000 0.000 1
Na1 Na 0.000 0.000 0.500 1
V1 V 0.000 0.500 0.750 1
O1 O 0.095 0.295 0.638 1
# * size of the total moment: 2.007 Bohr magnetons per cell
# * E_tot: -5.87 eV per atom
# * calculated density: 2.54 g/cm3